(1)
! LiMo2Ir | Alexandria | GGA-PBE | relaxed; values from VASP
! energy of formation from the pure elements = 109 meV per atom
! uncorrected energy = -8.00 eV per atom
! energy above the most stable polymorph in this dataset = 89 meV per atom
! mass density = 11.074 Mg/m³
! space-group type = Cmmm (65)
&SYSTEM
  ibrav = 0, nat = 8, ntyp = 3
/
ATOMIC_SPECIES
Li 6.94 Li.upf
Mo 95.94 Mo.upf
Ir 192.22 Ir.upf
CELL_PARAMETERS angstrom
5.2224 0.0000 0.0000
0.0000 8.3064 0.0000
0.0000 0.0000 2.7034
ATOMIC_POSITIONS angstrom
Li 0.0000 0.0000 0.0000
Li 2.6112 4.1532 0.0000
Mo 1.3056 2.0766 1.3517
Mo 1.3056 6.2298 1.3517
Mo 3.9168 2.0766 1.3517
Mo 3.9168 6.2298 1.3517
Ir 0.0000 4.1532 0.0000
Ir 2.6112 0.0000 0.0000


(2)
! LiMoIr2 | Alexandria | GGA-PBE | relaxed; values from VASP
! energy of formation from the pure elements = -100 meV per atom
! uncorrected energy = -7.72 eV per atom
! energy above the most stable polymorph in this dataset = 104 meV per atom
! mass density = 14.216 Mg/m³
! space-group type = Pm (6)
&SYSTEM
  ibrav = 0, nat = 4, ntyp = 3
/
ATOMIC_SPECIES
Li 6.94 Li.upf
Mo 95.94 Mo.upf
Ir 192.22 Ir.upf
CELL_PARAMETERS angstrom
2.7265 0.0000 0.0000
0.0000 4.0057 0.0000
-0.0250 0.0000 5.2120
ATOMIC_POSITIONS angstrom
Li 0.0000 0.0000 0.0000
Mo 1.3540 2.0029 1.4152
Ir 1.3438 2.0029 4.2073
Ir 2.7091 0.0000 2.6325


(3)
! LiMo2Ir | Alexandria | GGA-PBE | relaxed; values from VASP
! energy of formation from the pure elements = 47 meV per atom
! uncorrected energy = -8.06 eV per atom
! energy above the most stable polymorph in this dataset = 27 meV per atom
! mass density = 11.169 Mg/m³
! space-group type = Pm (6)
&SYSTEM
  ibrav = 0, nat = 4, ntyp = 3
/
ATOMIC_SPECIES
Li 6.94 Li.upf
Mo 95.94 Mo.upf
Ir 192.22 Ir.upf
CELL_PARAMETERS angstrom
2.7202 0.0000 0.0000
0.0000 4.3022 0.0000
-0.5741 0.0000 4.9680
ATOMIC_POSITIONS angstrom
Li 0.0000 0.0000 0.0000
Mo 0.9726 0.0000 2.5046
Mo 1.6294 2.1511 1.0307
Ir -0.1941 2.1511 3.6172


(4)
! Li2MoIr | Alexandria | GGA-PBE | relaxed; values from VASP
! energy of formation from the pure elements = 125 meV per atom
! uncorrected energy = -5.75 eV per atom
! energy above the most stable polymorph in this dataset = 181 meV per atom
! mass density = 8.554 Mg/m³
! space-group type = P4/mmm (123)
&SYSTEM
  ibrav = 0, nat = 4, ntyp = 3
/
ATOMIC_SPECIES
Li 6.94 Li.upf
Mo 95.94 Mo.upf
Ir 192.22 Ir.upf
CELL_PARAMETERS angstrom
3.6041 0.0000 0.0000
0.0000 3.6041 0.0000
0.0000 0.0000 4.5139
ATOMIC_POSITIONS angstrom
Li 0.0000 1.8021 0.0000
Li 1.8021 0.0000 0.0000
Mo 0.0000 0.0000 2.2570
Ir 1.8021 1.8021 2.2570


| no. | calculated volume (Å³/cell) |
| --- | --- |
| 1 | 117.3 |
| 2 | 56.9 |
| 3 | 58.1 |
| 4 | 58.6 |